Here is LiCaTaSi after structural relaxation from the Alexandria database. Energies are from PBE.

Output
Uncorrected formation energy: 15.1 kJ/mol of atoms
Size of the total moment: 0.00 μB/cell
Volume: 20.65 A^3/atom
Distance to the lowest polymorph of the same formula: 0.087 eV/atom
D(E_F): 1.974 states/eV/f.u.

Lattice parameters (Å, degrees): 2.9531 8.0911 3.4905 90.00 97.95 90.00
Atoms (fractional coordinates):
Li 0.0000 0.0000 0.0000
Ca 0.5000 0.3349 0.5000
Ta 0.0000 0.6345 0.0000
Si 0.5000 0.8173 0.5000